## Mg8SiSn2 (PBE)

Data for a geometry-optimized Mg8SiSn2 structure.

a b c (Å): 17.533 4.678 6.354
angles (deg): 90.00 103.44 90.00
Space group C2/m (No. 12)
Inequivalent atoms, fractional coordinates:
Mg 0.017 0.000 0.264 x4
Mg 0.092 0.500 0.946 x4
Mg 0.150 0.500 0.474 x4
Mg 0.208 0.000 0.785 x4
Si 0.000 0.500 0.500 x2
Sn 0.183 0.000 0.221 x4

Formation energy without anion corrections, eV per atom: -0.054
Volume, Å³ per atom: 23.04

## Ba3Ga2B10H4O23 (PBE)

Data for a geometry-optimized Ba3Ga2B10H4O23 structure.

a b c (Å): 7.309 46.790 12.440
angles (deg): 90.00 90.00 90.00
Space group Fdd2 (No. 43)
Inequivalent atoms, fractional coordinates:
Ba 0.000 0.000 0.000 x8
Ba 0.120 0.094 0.239 x16
Ga 0.111 0.332 0.163 x16
B 0.008 0.403 0.995 x16
B 0.062 0.168 0.285 x16
B 0.076 0.222 0.615 x16
B 0.081 0.089 0.682 x16
B 0.116 0.018 0.273 x16
H 0.052 0.298 0.707 x16
H 0.111 0.218 0.963 x16
O 0.000 0.000 0.207 x8
O 0.004 0.461 0.836 x16
O 0.006 0.405 0.525 x16
O 0.009 0.165 0.402 x16
O 0.017 0.089 0.785 x16
O 0.017 0.286 0.455 x16
O 0.024 0.250 0.596 x16
O 0.051 0.294 0.170 x16
O 0.057 0.408 0.102 x16
O 0.058 0.198 0.249 x16
O 0.074 0.349 0.718 x16
O 0.116 0.149 0.665 x16

E, eV per atom: -7.2418
Volume, Å³ per atom: 12.66

## ZrInSi2 (PBE)

Data for a geometry-optimized ZrInSi2 structure.

a b c (Å): 3.2772 3.2772 25.6299
angles (deg): 90.00 90.00 120.00
Space group R-3m (No. 166, hexagonal axes)
Inequivalent atoms, fractional coordinates:
Zr 0.0000 0.0000 0.0000 x3
In 0.0000 0.0000 0.5000 x3
Si 0.0000 0.0000 0.2524 x6

Formation energy without anion corrections, eV per atom: 0.081
Volume, Å³ per atom: 19.87

## KNd2AgO4 (PBE)

Data for a geometry-optimized KNd2AgO4 structure.

a b c (Å): 3.710 12.482 12.528
angles (deg): 90.00 90.00 90.00
Space group Cmcm (No. 63)
Inequivalent atoms, fractional coordinates:
K 0.000 0.062 0.250 x4
Nd 0.000 0.369 0.064 x8
Ag 0.000 0.232 0.750 x4
O 0.000 0.000 0.000 x4
O 0.000 0.247 0.584 x8
O 0.000 0.415 0.250 x4

Formation energy without anion corrections, eV per atom: -2.251
Volume, Å³ per atom: 18.13

## Sr2FeOs (PBE)

Data for a geometry-optimized Sr2FeOs structure.

a b c (Å): 4.710 4.710 8.717
angles (deg): 90.00 90.00 90.00
Space group I4/mmm (No. 139)
Inequivalent atoms, fractional coordinates:
Sr 0.000 0.500 0.250 x4
Fe 0.000 0.000 0.000 x2
Os 0.000 0.000 0.500 x2

Polymorph energy (0 for the lowest one), meV/atom: 790
Volume, Å³ per atom: 24.17
DFT formation energy, eV per formula unit: 4.04

## TbBeAs (PBE)

Data for a geometry-optimized TbBeAs structure.

a b c (Å): 4.6888 4.6888 21.6979
angles (deg): 90.00 90.00 120.00
Space group R-3m (No. 166, hexagonal axes)
Inequivalent atoms, fractional coordinates:
Tb 0.0000 0.0000 0.0870 x6
Be 0.0000 0.0000 0.3219 x6
As 0.0000 0.0000 0.2196 x6

Volume, Å³ per atom: 22.95
DFT formation energy, eV per formula unit: -0.96

## Ce6InTc (PBE)

Data for a geometry-optimized Ce6InTc structure.

a b c (Å): 7.830 9.556 6.279
angles (deg): 90.00 107.80 90.00
Space group C2/m (No. 12)
Inequivalent atoms, fractional coordinates:
Ce 0.121 0.205 0.304 x8
Ce 0.187 0.500 0.098 x4
In 0.000 0.500 0.500 x2
Tc 0.000 0.000 0.000 x2

Volume, Å³ per atom: 27.96
DFT formation energy, eV per formula unit: -0.01

## NaAlSiO4 (PBE)

Data for a geometry-optimized NaAlSiO4 structure.

a b c (Å): 2.766 10.234 8.785
angles (deg): 90.00 90.00 90.00
Space group Pmc2_1 (No. 26)
Inequivalent atoms, fractional coordinates:
Na 0.000 0.088 0.000 x2
Na 0.500 0.401 0.518 x2
Al 0.500 0.148 0.684 x2
Al 0.500 0.362 0.195 x2
Si 0.000 0.139 0.314 x2
Si 0.000 0.351 0.849 x2
O 0.000 0.031 0.741 x2
O 0.000 0.271 0.661 x2
O 0.000 0.314 0.332 x2
O 0.000 0.400 0.051 x2
O 0.500 0.108 0.452 x2
O 0.500 0.169 0.185 x2
O 0.500 0.240 0.885 x2
O 0.500 0.460 0.795 x2

Formation energy without anion corrections, eV per atom: -2.557
Polymorph energy (0 for the lowest one), meV/atom: 195
Volume, Å³ per atom: 8.88

## CaZrNi2 (PBE)

Data for a geometry-optimized CaZrNi2 structure.

a b c (Å): 10.248 2.950 4.820
angles (deg): 90.00 103.90 90.00
Space group Cm (No. 8)
Inequivalent atoms, fractional coordinates:
Ca 0.000 0.000 0.000 x2
Zr 0.207 0.000 0.619 x2
Ni 0.260 0.500 0.168 x2
Ni 0.450 0.000 0.473 x2

Volume, Å³ per atom: 17.68
DFT formation energy, eV per formula unit: -0.05

## CsTlZn2Pd (PBE)

Data for a geometry-optimized CsTlZn2Pd structure.

a b c (Å): 5.146 5.146 5.388
angles (deg): 90.00 90.00 90.00
Space group P4/mmm (No. 123)
Inequivalent atoms, fractional coordinates:
Cs 0.000 0.000 0.000 x1
Tl 0.500 0.500 0.000 x1
Zn 0.000 0.500 0.500 x2
Pd 0.500 0.500 0.500 x1

Volume, Å³ per atom: 28.53
DFT formation energy, eV per formula unit: -0.43

## SiAsPd2 (PBE)

Data for a geometry-optimized SiAsPd2 structure.

a b c (Å): 6.287 6.287 6.287
angles (deg): 90.00 90.00 90.00
Space group Fm-3m (No. 225)
Inequivalent atoms, fractional coordinates:
Si 0.000 0.000 0.000 x4
As 0.000 0.000 0.500 x4
Pd 0.250 0.250 0.250 x8

Formation energy without anion corrections, eV per atom: -0.182
Volume, Å³ per atom: 15.54

## TbNdGaHg (PBE)

Data for a geometry-optimized TbNdGaHg structure.

a b c (Å): 3.658 3.658 7.662
angles (deg): 90.00 90.00 90.00
Space group P4mm (No. 99)
Inequivalent atoms, fractional coordinates:
Tb 0.000 0.000 0.000 x1
Nd 0.000 0.000 0.470 x1
Ga 0.500 0.500 0.226 x1
Hg 0.500 0.500 0.753 x1

Polymorph energy (0 for the lowest one), meV/atom: 0
Volume, Å³ per atom: 25.63
DFT formation energy, eV per formula unit: -2.11

## InSb2TeOs (PBE)

Data for a geometry-optimized InSb2TeOs structure.

a b c (Å): 5.580 5.580 5.560
angles (deg): 90.00 90.00 90.00
Space group P4/mmm (No. 123)
Inequivalent atoms, fractional coordinates:
In 0.000 0.000 0.000 x1
Sb 0.000 0.500 0.000 x2
Te 0.000 0.000 0.500 x1
Os 0.500 0.500 0.500 x1

Formation energy without anion corrections, eV per atom: 1.853
Polymorph energy (0 for the lowest one), meV/atom: 1338
Volume, Å³ per atom: 34.63

## ZrAu2Se (PBE)

Data for a geometry-optimized ZrAu2Se structure.

a b c (Å): 4.0668 4.0668 18.6440
angles (deg): 90.00 90.00 120.00
Space group R-3m (No. 166, hexagonal axes)
Inequivalent atoms, fractional coordinates:
Zr 0.0000 0.0000 0.0000 x3
Au 0.0000 0.0000 0.2508 x6
Se 0.0000 0.0000 0.5000 x3

Formation energy without anion corrections, eV per atom: -0.217
Volume, Å³ per atom: 22.25

## KNaNbOF5 (PBE)

Data for a geometry-optimized KNaNbOF5 structure.

a b c (Å): 6.047 6.047 8.662
angles (deg): 90.00 90.00 90.00
Space group P4/nmm (No. 129, origin choice 2)
Inequivalent atoms, fractional coordinates:
K 0.250 0.750 0.000 x2
Na 0.250 0.250 0.267 x2
Nb 0.250 0.250 0.735 x2
O 0.250 0.250 0.532 x2
F 0.020 0.020 0.773 x8
F 0.250 0.250 0.989 x2

Formation energy without anion corrections, eV per atom: -2.955
Polymorph energy (0 for the lowest one), meV/atom: 6
Volume, Å³ per atom: 17.60

## Y2Co5Ge4 (PBE)

Data for a geometry-optimized Y2Co5Ge4 structure.

a b c (Å): 5.379 9.264 13.849
angles (deg): 90.00 90.00 90.00
Space group Fmmm (No. 69)
Inequivalent atoms, fractional coordinates:
Y 0.000 0.000 0.130 x8
Co 0.000 0.000 0.500 x4
Co 0.250 0.250 0.000 x8
Co 0.250 0.250 0.250 x8
Ge 0.000 0.156 0.370 x16

Volume, Å³ per atom: 15.68
DFT formation energy, eV per formula unit: -5.24

## AcPb3F8 (PBE)

Data for a geometry-optimized AcPb3F8 structure.

a b c (Å): 6.095 6.095 6.095
angles (deg): 90.00 90.00 90.00
Space group Pm-3m (No. 221)
Inequivalent atoms, fractional coordinates:
Ac 0.000 0.000 0.000 x1
Pb 0.000 0.500 0.500 x3
F 0.239 0.239 0.239 x8

Formation energy without anion corrections, eV per atom: -2.755
Volume, Å³ per atom: 18.87

## Ta2TiHgH (PBE)

Data for a geometry-optimized Ta2TiHgH structure.

a b c (Å): 4.076 4.076 4.477
angles (deg): 90.00 90.00 90.00
Space group P4/mmm (No. 123)
Inequivalent atoms, fractional coordinates:
Ta 0.000 0.500 0.000 x2
Ti 0.000 0.000 0.500 x1
Hg 0.500 0.500 0.500 x1
H 0.000 0.000 0.000 x1

Polymorph energy (0 for the lowest one), meV/atom: 0
Volume, Å³ per atom: 14.88

## NbZnPd (PBE)

Data for a geometry-optimized NbZnPd structure.

a b c (Å): 4.4484 4.4484 2.7531
angles (deg): 90.00 90.00 120.00
Space group P-6m2 (No. 187)
Inequivalent atoms, fractional coordinates:
Nb 0.0000 0.0000 0.0000 x1
Zn 0.3333 0.6667 0.5000 x1
Pd 0.6667 0.3333 0.5000 x1

Volume, Å³ per atom: 15.73
DFT formation energy, eV per formula unit: -0.85

## TiC2Br (PBE)

Data for a geometry-optimized TiC2Br structure.

a b c (Å): 5.783 5.783 5.783
angles (deg): 90.00 90.00 90.00
Space group Fm-3m (No. 225)
Inequivalent atoms, fractional coordinates:
Ti 0.000 0.000 0.000 x4
C 0.250 0.250 0.250 x8
Br 0.000 0.000 0.500 x4

Formation energy without anion corrections, eV per atom: 2.237
Polymorph energy (0 for the lowest one), meV/atom: 698
Volume, Å³ per atom: 12.08

## Fe2Se (PBE)

Data for a geometry-optimized Fe2Se structure.

a b c (Å): 3.561 3.561 3.728
angles (deg): 90.00 90.00 90.00
Space group P4/mmm (No. 123)
Inequivalent atoms, fractional coordinates:
Fe 0.000 0.500 0.000 x2
Se 0.000 0.000 0.500 x1

Formation energy without anion corrections, eV per atom: 0.308
Polymorph energy (0 for the lowest one), meV/atom: 450
Volume, Å³ per atom: 15.75